(1)
VASP calculation (PBE) on a relaxed structure of ZnFeCl2.

Lattice parameters (Å, degrees): 7.282 7.282 7.282 154.32 146.05 43.05
Sites, in units of the cell vectors:
Zn 0.250 0.750 0.500
Cl 0.616 0.616 0.000
Cl 0.884 0.884 0.000
Fe 0.750 0.250 0.500

Summary:
- Space group: Immm
- Raw total energy: -3.61 eV/atom
- E_form (uncorrected): -0.248 eV per atom


(2)
VASP calculation (PBE) on a relaxed structure of ZnIr2Os.

Lattice parameters (Å, degrees): 4.716 4.716 4.696 80.97 80.97 33.96
Sites, in units of the cell vectors:
Zn 0.252 0.252 0.234
Os 0.494 0.494 0.517
Ir 0.751 0.751 0.728
Ir 0.004 0.004 0.020

Summary:
- Formation enthalpy at 0 K: 18.3 meV per atom
- Space group: Cm
- Raw total energy: -7.54 eV/atom


(3)
VASP calculation (PBE) on a relaxed structure of CeSF.

Lattice parameters (Å, degrees): 4.520 4.520 4.520 60.00 60.00 60.00
Sites, in units of the cell vectors:
F 0.500 0.500 0.500
Ce 0.250 0.250 0.250
S 0.000 0.000 0.000

Summary:
- Space group: F-43m
- Raw total energy: -6.69 eV/atom
- E_form (uncorrected): -2.716 eV per atom


(4)
VASP calculation (PBE) on a relaxed structure of Hf2AlReH.

Lattice parameters (Å, degrees): 4.487 4.487 3.719 90.00 90.00 90.00
Sites, in units of the cell vectors:
H 0.000 0.000 0.000
Re 0.000 0.000 0.500
Hf 0.500 0.000 0.000
Hf 0.000 0.500 0.000
Al 0.500 0.500 0.500

Summary:
- Space group: P4/mmm
- Raw total energy: -8.17 eV/atom


(5)
VASP calculation (PBE) on a relaxed structure of La15DyEr4.

Lattice parameters (Å, degrees): 5.198 5.198 25.988 90.00 90.00 90.00
Sites, in units of the cell vectors:
La 0.500 0.500 0.400
La 0.500 0.500 0.200
La 0.500 0.000 0.700
La 0.500 0.000 0.900
La 0.500 0.500 0.600
La 0.500 0.000 0.100
La 0.500 0.000 0.500
La 0.000 0.500 0.700
La 0.500 0.500 0.800
La 0.000 0.500 0.300
La 0.000 0.500 0.100
La 0.000 0.500 0.900
La 0.500 0.500 0.000
La 0.500 0.000 0.300
La 0.000 0.500 0.500
Er 0.000 0.000 0.200
Er 0.000 0.000 0.800
Er 0.000 0.000 0.600
Er 0.000 0.000 0.400
Dy 0.000 0.000 0.000

Summary:
- Formation enthalpy at 0 K: 6.9 meV per atom
- Space group: P4/mmm
- Raw total energy: -4.83 eV/atom


(6)
VASP calculation (PBE) on a relaxed structure of LaThBiSb.

Lattice parameters (Å, degrees): 5.580 5.580 5.580 60.00 60.00 60.00
Sites, in units of the cell vectors:
La 0.250 0.250 0.250
Th 0.750 0.750 0.750
Bi 0.500 0.500 0.500
Sb 0.000 0.000 0.000

Summary:
- Space group: F-43m
- Raw total energy: -5.85 eV/atom
- E_form (uncorrected): -0.765 eV per atom


(7)
VASP calculation (PBE) on a relaxed structure of SiAsCl.

Lattice parameters (Å, degrees): 4.583 4.583 3.025 90.00 90.00 120.00
Sites, in units of the cell vectors:
Si 0.667 0.333 0.831
As 0.000 0.000 0.835
Cl 0.333 0.667 0.334

Summary:
- Space group: P3m1
- Raw total energy: -3.64 eV/atom
- E_form (uncorrected): 0.332 eV per atom


(8)
VASP calculation (PBE) on a relaxed structure of LaTbAlAg.

Lattice parameters (Å, degrees): 5.306 5.306 5.306 60.00 60.00 60.00
Sites, in units of the cell vectors:
Ag 0.250 0.250 0.250
La 0.500 0.500 0.500
Al 0.750 0.750 0.750
Tb 0.000 0.000 0.000

Summary:
- Formation enthalpy at 0 K: -298.0 meV per atom
- Space group: F-43m
- Raw total energy: -4.34 eV/atom


(9)
VASP calculation (PBE) on a relaxed structure of SrBiH3.

Lattice parameters (Å, degrees): 4.462 4.462 4.462 90.00 90.00 90.00
Sites, in units of the cell vectors:
H 0.500 0.000 0.000
H 0.000 0.500 0.000
H 0.000 0.000 0.500
Bi 0.000 0.000 0.000
Sr 0.500 0.500 0.500

Summary:
- Space group: Pm-3m
- Raw total energy: -2.89 eV/atom


(10)
VASP calculation (PBE) on a relaxed structure of CeSnHg4.

Lattice parameters (Å, degrees): 6.079 6.079 6.079 60.00 60.00 60.00
Sites, in units of the cell vectors:
Hg 0.625 0.625 0.625
Hg 0.625 0.625 0.125
Hg 0.625 0.125 0.625
Hg 0.125 0.625 0.625
Ce 0.250 0.250 0.250
Sn 0.000 0.000 0.000

Summary:
- Formation enthalpy at 0 K: -60.7 meV per atom
- Space group: F-43m
- Raw total energy: -1.92 eV/atom


(11)
VASP calculation (PBE) on a relaxed structure of Be2CdBr.

Lattice parameters (Å, degrees): 4.629 4.629 7.330 51.12 51.12 41.87
Sites, in units of the cell vectors:
Be 0.035 0.035 0.127
Be 0.465 0.465 0.373
Br 0.750 0.750 0.750
Cd 0.250 0.250 0.250

Summary:
- Space group: C2/m
- Raw total energy: -2.22 eV/atom
- E_form (uncorrected): 0.291 eV per atom


(12)
VASP calculation (PBE) on a relaxed structure of Ca2SnAs3Pd4.

Lattice parameters (Å, degrees): 4.305 4.305 10.901 90.00 90.00 90.00
Sites, in units of the cell vectors:
Pd 0.000 0.000 0.000
Pd 0.000 0.500 0.353
Pd 0.500 0.500 0.000
Pd 0.500 0.000 0.647
Ca 0.500 0.000 0.232
Ca 0.000 0.500 0.768
As 0.000 0.500 0.129
As 0.500 0.000 0.871
As 0.000 0.000 0.500
Sn 0.500 0.500 0.500

Summary:
- Formation enthalpy at 0 K: -720.4 meV per atom
- Space group: P-4m2
- Raw total energy: -4.99 eV/atom